The following is a PBE calculation of ZnCrTe after structural relaxation, from Alexandria via LeMat-Bulk.

Computed properties:
For the uncorrected formation energy, the calculation gives 0.187 eV/atom. For the size of the total moment, the calculation gives 0.000 μB/f.u. For the polymorph energy (0 for the lowest one), the calculation gives 171 meV/atom.

abc: 6.5368 5.7960 6.7177
angles: 90.00 95.84 90.00
Last column: nearest neighbours and their distance in Å.
Space group C2 (No. 5)
Inequivalent atoms, fractional coordinates:
Zn 0.1279 0.0000 0.2685 (multiplicity 4)  2 Cr 2.49-2.71, 1 Te 2.75
Cr 0.1453 0.2778 0.9879 (multiplicity 4)  1 Cr 1.92
Te 0.2079 0.5363 0.3106 (multiplicity 4)  2 Cr 2.63-2.70, 3 Zn 2.75-2.93